No. 1
Density functional theory data (PBEsol) for CaAlRe after structural relaxation.

Calculated total energy: -18.6 eV per cell
N(E_F): 2.3 states/eV/cell
Size of the total moment: 0.00 μB per cell
Formation enthalpy at 0 K: 0.32 eV per atom

POSCAR file:
```
CaAlRe
1.0
-1.419 1.419 6.773
1.419 -1.419 6.773
1.419 1.419 -6.773
Ca Al Re
1 1 1
Cartesian
0.000 0.000 0.000
0.000 0.000 4.221
0.000 0.000 9.195
```

***

No. 2
Density functional theory data (PBEsol) for CaAlRe2 after structural relaxation.

Calculated total energy: -32.5 eV per cell
N(E_F): 3.4 states/eV/cell
Size of the total moment: 0.00 μB per cell
Formation enthalpy at 0 K: 0.09 eV per atom

POSCAR file:
```
CaAlRe2
1.0
3.061 0.000 0.000
0.000 3.061 0.000
0.000 0.000 7.597
Ca Al Re
1 1 2
Cartesian
0.000 0.000 0.000
1.531 1.531 5.233
0.000 0.000 3.635
1.531 1.531 2.233
```